Record 1
5
Lattice="6.304 0.000 0.000 0.000 6.304 0.000 0.000 0.000 6.304" Properties=species:S:1:pos:R:3 comment="PBE Ba3AcPt, relaxed" formation_energy_kj_per_mol_fu=-105 volume_a3_per_atom=50.096 pbc="T T T"
Ba 0.000 0.000 3.152
Ba 0.000 3.152 0.000
Ba 3.152 0.000 0.000
Ac 3.152 3.152 3.152
Pt 0.000 0.000 0.000

Record 2
14
Lattice="9.011 0.000 0.000 0.000 4.532 0.000 -0.242 0.000 12.787" Properties=species:S:1:pos:R:3 comment="PBE Ba3AcPt3, relaxed" formation_energy_kj_per_mol_fu=-543 volume_a3_per_atom=37.299 pbc="T T T"
Ba 0.940 1.133 1.633
Ba 3.090 3.399 11.113
Ba 3.244 3.399 4.914
Ba 5.525 1.133 7.873
Ba 5.679 1.133 1.674
Ba 7.829 3.399 11.154
Ac 0.970 1.133 7.982
Ac 7.799 3.399 4.805
Pt 0.880 1.133 4.874
Pt 0.982 1.133 11.140
Pt 3.106 3.399 8.038
Pt 5.662 1.133 4.748
Pt 7.787 3.399 1.646
Pt 7.889 3.399 7.912

What did the second record say?
14
Lattice="9.011 0.000 0.000 0.000 4.532 0.000 -0.242 0.000 12.787" Properties=species:S:1:pos:R:3 comment="PBE Ba3AcPt3, relaxed" formation_energy_kj_per_mol_fu=-543 volume_a3_per_atom=37.299 pbc="T T T"
Ba 0.940 1.133 1.633
Ba 3.090 3.399 11.113
Ba 3.244 3.399 4.914
Ba 5.525 1.133 7.873
Ba 5.679 1.133 1.674
Ba 7.829 3.399 11.154
Ac 0.970 1.133 7.982
Ac 7.799 3.399 4.805
Pt 0.880 1.133 4.874
Pt 0.982 1.133 11.140
Pt 3.106 3.399 8.038
Pt 5.662 1.133 4.748
Pt 7.787 3.399 1.646
Pt 7.889 3.399 7.912